[1]
Entry from Alexandria via LeMat-Bulk: Ag4Te after structural relaxation (GGA-PBE).

Unit cell a=7.6454 b=7.6454 c=7.6454 alpha=150.35 beta=150.35 gamma=42.43
Fractional positions:
Ag 0.2500 0.7500 0.5000
Ag 0.7500 0.2500 0.5000
Ag 0.4015 0.4015 0.0000
Ag 0.5985 0.5985 0.0000
Te 0.0000 0.0000 0.0000

ΔE_f (raw)	0.1820	eV/atom
electronic total energy	-2.73	eV per atom
symmetry	I4/mmm, No. 139
crystal system	tetragonal



[2]
Entry from Alexandria via LeMat-Bulk: Ag2Te after structural relaxation (GGA-PBE).

Unit cell a=5.8627 b=5.8627 c=5.8627 alpha=119.81 beta=119.81 gamma=90.34
Fractional positions:
Ag 0.3058 0.1942 0.5000
Ag 0.6942 0.8058 0.5000
Ag 0.1942 0.6942 0.8884
Ag 0.8058 0.3058 0.1116
Te 0.7500 0.7500 0.0000
Te 0.2500 0.2500 0.0000

ΔE_f (raw)	0.0688	eV/atom
electronic total energy	-2.88	eV per atom
symmetry	I4/mcm, No. 140
crystal system	tetragonal



[3]
Entry from Alexandria via LeMat-Bulk: AgTe after structural relaxation (GGA-PBE).

Unit cell a=4.4675 b=4.4675 c=3.1724 alpha=90.00 beta=90.00 gamma=120.00
Fractional positions:
Te 0.6667 0.3333 0.5000
Ag 0.0000 0.0000 0.0000

ΔE_f (raw)	0.0385	eV/atom
electronic total energy	-2.96	eV per atom
symmetry	P-6m2, No. 187
crystal system	hexagonal



[4]
Entry from Alexandria via LeMat-Bulk: Ag4Te after structural relaxation (GGA-PBE).

Unit cell a=5.3226 b=5.3226 c=5.3226 alpha=99.13 beta=99.13 gamma=133.06
Fractional positions:
Ag 0.8113 0.4041 0.2154
Ag 0.4041 0.1887 0.5928
Ag 0.1887 0.5959 0.7846
Ag 0.5959 0.8113 0.4072
Te 0.0000 0.0000 0.0000

ΔE_f (raw)	0.0430	eV/atom
electronic total energy	-2.87	eV per atom
symmetry	I4/m, No. 87
crystal system	tetragonal



[5]
Entry from Alexandria via LeMat-Bulk: Ag2Te after structural relaxation (GGA-PBE).

Unit cell a=9.9789 b=4.8510 c=7.8496 alpha=51.84 beta=90.00 gamma=90.00
Fractional positions:
Ag 0.4169 0.2754 0.2552
Ag 0.5831 0.2754 0.7552
Ag 0.4182 0.7580 0.7725
Ag 0.9181 0.2696 0.2555
Ag 0.5818 0.7580 0.2724
Ag 0.0819 0.2696 0.7555
Ag 0.9170 0.7523 0.7726
Ag 0.0830 0.7523 0.2726
Te 0.3395 0.0168 0.0130
Te 0.6605 0.0168 0.5130
Te 0.8395 0.0112 0.0146
Te 0.1605 0.0112 0.5146

ΔE_f (raw)	-0.0511	eV/atom
electronic total energy	-3.00	eV per atom
symmetry	P2_1/c, No. 14
crystal system	monoclinic



[6]
Entry from Alexandria via LeMat-Bulk: Ag2Te after structural relaxation (GGA-PBE).

Unit cell a=4.6146 b=4.6145 c=8.4874 alpha=90.00 beta=90.00 gamma=120.00
Fractional positions:
Ag 0.3333 0.6667 0.4147
Ag 0.6667 0.3333 0.9147
Ag 0.6667 0.3333 0.5853
Ag 0.3333 0.6667 0.0853
Te 0.3333 0.6667 0.7500
Te 0.6667 0.3333 0.2500

ΔE_f (raw)	-0.0155	eV/atom
electronic total energy	-2.96	eV per atom
symmetry	P6_3/mmc, No. 194
crystal system	hexagonal



[7]
Entry from Alexandria via LeMat-Bulk: Ag2Te after structural relaxation (GGA-PBE).

Unit cell a=4.4768 b=4.4768 c=6.8698 alpha=90.00 beta=90.00 gamma=90.00
Fractional positions:
Ag 0.7500 0.2500 0.0000
Ag 0.2500 0.7500 0.0000
Ag 0.2500 0.2500 0.2889
Ag 0.7500 0.7500 0.7111
Te 0.2500 0.2500 0.7119
Te 0.7500 0.7500 0.2881

ΔE_f (raw)	-0.0320	eV/atom
electronic total energy	-2.98	eV per atom
symmetry	P4/nmm, No. 129
crystal system	tetragonal



[8]
Entry from Alexandria via LeMat-Bulk: AgTe after structural relaxation (GGA-PBE).

Unit cell a=12.9862 b=12.9862 c=3.0954 alpha=90.00 beta=90.00 gamma=90.00
Fractional positions:
Ag 0.4038 0.6910 0.0000
Ag 0.5962 0.3090 0.0000
Ag 0.3090 0.4038 0.0000
Ag 0.6910 0.5962 0.0000
Ag 0.9038 0.1910 0.5000
Ag 0.0962 0.8090 0.5000
Ag 0.8090 0.9038 0.5000
Ag 0.1910 0.0962 0.5000
Te 0.4085 0.2228 0.0000
Te 0.5915 0.7772 0.0000
Te 0.7772 0.4085 0.0000
Te 0.2228 0.5915 0.0000
Te 0.9085 0.7228 0.5000
Te 0.0915 0.2772 0.5000
Te 0.2772 0.9085 0.5000
Te 0.7228 0.0915 0.5000

ΔE_f (raw)	0.0699	eV/atom
electronic total energy	-2.93	eV per atom
symmetry	I4/m, No. 87
crystal system	tetragonal



[9]
Entry from Alexandria via LeMat-Bulk: Ag2Te after structural relaxation (GGA-PBE).

Unit cell a=4.1285 b=4.1285 c=5.3776 alpha=90.00 beta=90.00 gamma=90.00
Fractional positions:
Te 0.0000 0.0000 0.0000
Ag 0.0000 0.0000 0.5000
Ag 0.5000 0.5000 0.0000

ΔE_f (raw)	0.2091	eV/atom
electronic total energy	-2.74	eV per atom
symmetry	P4/mmm, No. 123
crystal system	tetragonal



[10]
Entry from Alexandria via LeMat-Bulk: Ag3Te4 after structural relaxation (GGA-PBE).

Unit cell a=3.1786 b=4.3402 c=14.4764 alpha=98.62 beta=96.30 gamma=90.00
Fractional positions:
Ag 0.7767 0.2767 0.5533
Ag 0.0000 0.5000 0.0000
Ag 0.2233 0.7233 0.4467
Te 0.6718 0.1718 0.3436
Te 0.3282 0.8282 0.6564
Te 0.4411 0.9411 0.8822
Te 0.5589 0.0589 0.1178

ΔE_f (raw)	0.0850	eV/atom
electronic total energy	-2.93	eV per atom
symmetry	Immm, No. 71
crystal system	orthorhombic



[11]
Entry from Alexandria via LeMat-Bulk: AgTe after structural relaxation (GGA-PBE).

Unit cell a=3.2786 b=3.2786 c=10.7055 alpha=90.00 beta=90.00 gamma=120.00
Fractional positions:
Te 0.0000 0.0000 0.4484
Te 0.6667 0.3333 0.8016
Ag 0.0000 0.0000 0.0236
Ag 0.6667 0.3333 0.2264

ΔE_f (raw)	0.1586	eV/atom
electronic total energy	-2.84	eV per atom
symmetry	P-3m1, No. 164
crystal system	trigonal



[12]
Entry from Alexandria via LeMat-Bulk: Ag2Te after structural relaxation (GGA-PBE).

Unit cell a=7.6908 b=7.6908 c=4.9229 alpha=90.00 beta=90.00 gamma=120.00
Fractional positions:
Ag 0.3039 0.3039 0.6901
Ag 0.6961 0.0000 0.6901
Ag 0.0000 0.6961 0.6901
Ag 0.0000 0.3039 0.3099
Ag 0.3039 0.0000 0.3099
Ag 0.6961 0.6961 0.3099
Te 0.0000 0.0000 0.0000
Te 0.3333 0.6667 0.5000
Te 0.6667 0.3333 0.5000

ΔE_f (raw)	0.0532	eV/atom
electronic total energy	-2.89	eV per atom
symmetry	P-31m, No. 162
crystal system	trigonal



[13]
Entry from Alexandria via LeMat-Bulk: AgTe after structural relaxation (GGA-PBE).

Unit cell a=8.6801 b=8.6801 c=8.6801 alpha=90.00 beta=90.00 gamma=90.00
Fractional positions:
Ag 0.1538 0.1538 0.1538
Ag 0.1538 0.8462 0.8462
Ag 0.8462 0.1538 0.8462
Ag 0.8462 0.8462 0.1538
Ag 0.6538 0.6538 0.6538
Ag 0.6538 0.3462 0.3462
Ag 0.3462 0.6538 0.3462
Ag 0.3462 0.3462 0.6538
Te 0.3322 0.3322 0.3322
Te 0.3322 0.6678 0.6678
Te 0.6678 0.3322 0.6678
Te 0.6678 0.6678 0.3322
Te 0.8322 0.8322 0.8322
Te 0.8322 0.1678 0.1678
Te 0.1678 0.8322 0.1678
Te 0.1678 0.1678 0.8322

ΔE_f (raw)	0.2022	eV/atom
electronic total energy	-2.79	eV per atom
symmetry	I-43m, No. 217
crystal system	cubic



[14]
Entry from Alexandria via LeMat-Bulk: AgTe after structural relaxation (GGA-PBE).

Unit cell a=6.5717 b=6.5717 c=9.0739 alpha=62.17 beta=62.17 gamma=27.35
Fractional positions:
Ag 0.6740 0.6740 0.6432
Ag 0.3538 0.3538 0.3555
Ag 0.3521 0.3521 0.6730
Te 0.9646 0.9646 0.0414
Te 0.0781 0.0781 0.4621
Te 0.7440 0.7440 0.9915

ΔE_f (raw)	0.0839	eV/atom
electronic total energy	-2.91	eV per atom
symmetry	Cm, No. 8
crystal system	monoclinic